# Si3GeO

A geometry-optimized Si3GeO structure (GGA-PBE, the Alexandria database).

As for the energy relative to the elements, uncorrected: 1411 meV per atom. The value obtained for the energy relative to the lowest polymorph listed for this composition is 5.60 eV/f.u. The value obtained for the density is 2.67 g/cm³.

The space group is Pm-3m (No. 221) and the conventional cell measures 4.756, 4.756 and 4.756 Å, with angles of 90.00, 90.00 and 90.00 degrees. The inequivalent atoms are Si at (0.000, 0.000, 0.500), Ge at (0.000, 0.000, 0.000) and O at (0.500, 0.500, 0.500).

# NaO6F12

A geometry-optimized NaO6F12 structure (GGA-PBE, the Alexandria database).

As for the energy relative to the elements, uncorrected: -108 meV per atom. The value obtained for the density is 2.09 g/cm³.

The space group is R-3 (No. 148, hexagonal axes) and the conventional cell measures 8.8717, 8.8717 and 12.1388 Å, with angles of 90.00, 90.00 and 120.00 degrees. The inequivalent atoms are Na at (0.0000, 0.0000, 0.0000), O at (0.0566, 0.2194, 0.7173), F at (0.0018, 0.7983, 0.3926) and F at (0.0345, 0.7748, 0.9140).

# Cs6HBr3F2

A geometry-optimized Cs6HBr3F2 structure (GGA-PBE, the Alexandria database).

Its energy is -3.206 eV/atom. The value obtained for the density is 3.80 g/cm³.

The space group is C2/m (No. 12) and the conventional cell measures 8.241, 14.277 and 8.453 Å, with angles of 90.00, 108.97 and 90.00 degrees. The inequivalent atoms are Cs at (0.228, 0.000, 0.208), Cs at (0.241, 0.329, 0.209), H at (0.000, 0.500, 0.000), Br at (0.000, 0.000, 0.500), Br at (0.000, 0.336, 0.500) and F at (0.000, 0.167, 0.000).

# ReBr

A geometry-optimized ReBr structure (GGA-PBE, the Alexandria database).

As for the energy relative to the elements, uncorrected: 254 meV per atom. The value obtained for the energy relative to the lowest polymorph listed for this composition is 0.05 eV/f.u. The value obtained for the density is 9.52 g/cm³.

The space group is P-3m1 (No. 164) and the conventional cell measures 3.4348, 3.4348 and 9.0891 Å, with angles of 90.00, 90.00 and 120.00 degrees. The inequivalent atoms are Re at (0.3333, 0.6667, 0.0788) and Br at (0.3333, 0.6667, 0.7008).